<w>
# PmPaZn

A relaxed structure of PmPaZn (PBE-GGA, Alexandria via LeMat-Bulk).

Calculated values
The value obtained for the density of states at the Fermi level is 4.695 states/eV per cell. The space-group type is I4mm.

Structure (POSCAR):
```
PmPaZn
1.0
-3.071 -0.486 -0.871
0.306 -3.143 0.674
-0.694 3.036 6.740
Pa Zn Pm
1 1 1
direct
0.318 0.318 0.637
0.669 0.669 0.338
0.012 0.012 0.025
```

<x>
# PmPaZn

A relaxed structure of PmPaZn (PBE-GGA, Alexandria via LeMat-Bulk).

Calculated values
The value obtained for the density of states at the Fermi level is 23.716 states/eV per cell. The space-group type is Fddd.

Structure (POSCAR):
```
PmPaZn
1.0
-0.598 -6.611 -3.801
-1.707 -5.268 5.276
-4.795 6.984 -1.619
Zn Pa Pm
4 4 4
direct
0.194 0.194 0.388
0.056 0.556 0.112
0.806 0.806 0.612
0.444 0.944 0.888
0.625 0.375 0.250
0.625 0.875 0.250
0.125 0.375 0.750
0.625 0.375 0.750
0.115 0.615 0.500
0.385 0.885 0.500
0.135 0.135 0.000
0.865 0.865 0.000
```

Which of them is least stable? Easy: <x>.